Record 1
Here is a relaxed Zr3Zn2IrRh3 crystal from Alexandria. Energies are from PBE-GGA.

a = 7.6578 Å, b = 7.6578 Å, c = 3.0150 Å
α = 90.00°, β = 90.00°, γ = 120.00°
Space group P-62m (No. 189)
Inequivalent atoms, fractional coordinates:
Zr 0.0000 0.7130 0.0000 (multiplicity 3)
Zn 0.3333 0.6667 0.0000 (multiplicity 2)
Ir 0.0000 0.0000 0.5000 (multiplicity 1)
Rh 0.0000 0.3900 0.5000 (multiplicity 3)



Record 2
Here is a relaxed ZrIrRh3 crystal from Alexandria. Energies are from PBE-GGA.

a = 13.3987 Å, b = 4.2449 Å, c = 5.5700 Å
α = 90.00°, β = 90.16°, γ = 90.00°
Space group C2/m (No. 12)
Inequivalent atoms, fractional coordinates:
Zr 0.1213 0.0000 0.4980 (multiplicity 4)
Ir 0.1949 0.5000 0.7672 (multiplicity 4)
Rh 0.0008 0.5000 0.7482 (multiplicity 4)
Rh 0.1023 0.0000 0.9973 (multiplicity 4)
Rh 0.1954 0.5000 0.2319 (multiplicity 4)



Total DFT energy (no corrections) values (in eV/f.u.) by entry order: -63.93, -41.39.
DOS(E_F) values (in states/eV per cell) by entry order: 4.40, 23.68.
Energy of formation values (in eV/atom) by entry order: -0.54, -0.39.